# 1
3
Lattice="-1.766 1.766 4.674 1.766 -1.766 4.674 1.766 1.766 -4.674" Properties=species:S:1:pos:R:3 comment="LiDyCu (PBE-GGA, relaxed)" polymorph_energy_mev_per_atom=0 formation_enthalpy_0k_ev_per_atom=-0.048 magmom_total_mub_per_atom=0.000 pbc="T T T"
Li 0.000 0.000 0.000
Dy 0.000 0.000 2.801
Cu 0.000 0.000 5.937

---

# 2
3
Lattice="4.430 0.000 0.000 -2.215 3.836 0.000 0.000 0.000 3.475" Properties=species:S:1:pos:R:3 comment="LiDyCu (PBE-GGA, relaxed)" polymorph_energy_mev_per_atom=32 formation_enthalpy_0k_ev_per_atom=-0.016 magmom_total_mub_per_atom=0.000 pbc="T T T"
Li 0.000 0.000 0.000
Dy 2.215 1.279 1.738
Cu 0.000 2.558 0.000

---

# 3
7
Lattice="-2.381 3.325 3.346 2.381 -3.325 3.346 2.381 3.325 -3.346" Properties=species:S:1:pos:R:3 comment="Li2DyCu4 (PBE-GGA, relaxed)" formation_enthalpy_0k_ev_per_atom=-0.147 magmom_total_mub_per_atom=0.000 pbc="T T T"
Li 1.191 0.000 0.000
Li 3.571 0.000 0.000
Dy 0.000 0.000 3.346
Cu 2.381 -1.268 2.072
Cu 0.000 2.058 1.274
Cu 2.381 1.268 2.072
Cu 0.000 4.593 1.274

---

# 4
19
Lattice="4.227 2.440 4.165 -4.227 2.440 4.165 0.000 -4.881 4.165" Properties=species:S:1:pos:R:3 comment="LiDyCu17 (PBE-GGA, relaxed)" formation_enthalpy_0k_ev_per_atom=-0.036 magmom_total_mub_per_atom=0.000 pbc="T T T"
Li 0.000 0.000 0.000
Dy 0.000 0.000 3.969
Cu 0.000 -2.475 2.149
Cu -2.144 1.238 2.149
Cu -2.096 -1.210 6.120
Cu 0.000 -2.471 5.992
Cu -2.140 1.235 5.992
Cu -1.292 -2.193 8.224
Cu -2.545 -0.022 8.224
Cu 2.144 1.238 2.149
Cu 0.000 0.000 7.032
Cu 2.096 -1.210 6.120
Cu 0.000 2.420 6.120
Cu 1.292 -2.193 8.224
Cu -1.253 2.215 8.224
Cu 0.000 0.000 9.474
Cu 2.140 1.235 5.992
Cu 2.545 -0.022 8.224
Cu 1.253 2.215 8.224

---

# 5
19
Lattice="4.277 2.469 4.207 -4.277 2.469 4.207 0.000 -4.938 4.207" Properties=species:S:1:pos:R:3 comment="Li2Dy2Cu15 (PBE-GGA, relaxed)" formation_enthalpy_0k_ev_per_atom=-0.146 magmom_total_mub_per_atom=0.000 pbc="T T T"
Li 0.000 0.000 1.183
Li 0.000 0.000 11.438
Dy 0.000 0.000 4.365
Dy 0.000 0.000 8.256
Cu -4.277 0.000 6.311
Cu -1.300 -2.687 4.207
Cu -2.138 1.235 2.104
Cu -2.977 0.218 4.207
Cu -2.122 -1.225 6.183
Cu 1.300 -2.687 4.207
Cu -1.677 2.469 4.207
Cu 0.000 -2.451 6.438
Cu -2.122 1.225 6.438
Cu 2.138 1.235 2.104
Cu 2.122 -1.225 6.183
Cu 0.000 2.451 6.183
Cu 2.977 0.218 4.207
Cu 1.677 2.469 4.207
Cu 2.122 1.225 6.438

---

# 6
24
Lattice="8.305 0.000 0.000 0.000 8.305 0.000 0.000 0.000 4.900" Properties=species:S:1:pos:R:3 comment="Li2DyCu9 (PBE-GGA, relaxed)" polymorph_energy_mev_per_atom=6 formation_enthalpy_0k_ev_per_atom=-0.116 magmom_total_mub_per_atom=0.000 pbc="T T T"
Li 0.947 3.205 0.000
Li 3.205 7.358 0.000
Li 5.099 0.947 0.000
Li 7.358 5.099 0.000
Dy 0.000 0.000 0.000
Dy 4.152 4.152 0.000
Cu 0.000 4.152 2.450
Cu 0.502 1.732 2.450
Cu 1.506 5.658 1.188
Cu 1.506 5.658 3.712
Cu 1.732 7.803 2.450
Cu 2.420 3.650 2.450
Cu 2.646 1.506 1.188
Cu 2.646 1.506 3.712
Cu 3.650 5.884 2.450
Cu 4.152 0.000 2.450
Cu 4.654 2.420 2.450
Cu 5.658 6.799 1.188
Cu 5.658 6.799 3.712
Cu 5.884 4.654 2.450
Cu 6.573 0.502 2.450
Cu 6.799 2.646 1.188
Cu 6.799 2.646 3.712
Cu 7.803 6.573 2.450

---

# 7
4
Lattice="0.000 3.390 3.390 3.390 0.000 3.390 3.390 3.390 0.000" Properties=species:S:1:pos:R:3 comment="LiDyMgCu (PBE-GGA, relaxed)" formation_enthalpy_0k_ev_per_atom=-0.088 magmom_total_mub_per_atom=0.000 pbc="T T T"
Li 0.000 0.000 0.000
Dy 1.695 1.695 1.695
Mg 5.086 5.086 5.086
Cu 3.390 3.390 3.390

---

# 8
4
Lattice="0.000 3.616 3.616 3.616 0.000 3.616 3.616 3.616 0.000" Properties=species:S:1:pos:R:3 comment="LiNdDyCu (PBE-GGA, relaxed)" formation_enthalpy_0k_ev_per_atom=-0.002 magmom_total_mub_per_atom=0.001 pbc="T T T"
Li 0.000 0.000 0.000
Nd 1.808 1.808 1.808
Dy 5.424 5.424 5.424
Cu 3.616 3.616 3.616